A plane-wave DFT calculation with GGA-PBE was carried out for a geometry-optimized ScH3Ru structure.

Geometry as CIF:
```
data_ScH3Ru
_chemical_formula_sum 'Sc4 H12 Ru4'
_space_group_name_H-M_alt 'C 2 2 21'
_space_group_IT_number 20
_cell_length_a 3.307
_cell_length_b 11.356
_cell_length_c 4.623
_cell_angle_alpha 90.00
_cell_angle_beta 90.00
_cell_angle_gamma 90.00
loop_
_space_group_symop_operation_xyz
'x,y,z'
'-x,-y,z+1/2'
'x,-y,-z'
'-x,y,-z+1/2'
'x+1/2,y+1/2,z'
'-x+1/2,-y+1/2,z+1/2'
'x+1/2,-y+1/2,-z'
'-x+1/2,y+1/2,-z+1/2'
loop_
_atom_site_label
_atom_site_type_symbol
_atom_site_fract_x
_atom_site_fract_y
_atom_site_fract_z
Sc1 Sc 0.000 0.137 0.250
H1 H 0.007 0.305 0.498
H2 H 0.228 0.000 0.000
Ru1 Ru 0.000 0.413 0.250
```

V ... 8.7 A^3/atom



A plane-wave DFT calculation with GGA-PBE was carried out for a geometry-optimized ScH3Ru structure.

Geometry as CIF:
```
data_ScH3Ru
_chemical_formula_sum 'Sc4 H12 Ru4'
_space_group_name_H-M_alt 'C 1 2/m 1'
_space_group_IT_number 12
_cell_length_a 10.437
_cell_length_b 3.382
_cell_length_c 4.964
_cell_angle_alpha 90.00
_cell_angle_beta 97.63
_cell_angle_gamma 90.00
loop_
_space_group_symop_operation_xyz
'x,y,z'
'-x,-y,-z'
'-x,y,-z'
'x,-y,z'
'x+1/2,y+1/2,z'
'-x+1/2,-y+1/2,-z'
'-x+1/2,y+1/2,-z'
'x+1/2,-y+1/2,z'
loop_
_atom_site_label
_atom_site_type_symbol
_atom_site_fract_x
_atom_site_fract_y
_atom_site_fract_z
Sc1 Sc 0.115 0.000 0.344
H1 H 0.046 0.500 0.170
H2 H 0.186 0.500 0.560
H3 H 0.192 0.000 0.953
Ru1 Ru 0.129 0.500 0.872
```

V ... 8.7 A^3/atom



A plane-wave DFT calculation with GGA-PBE was carried out for a geometry-optimized Sc3H12Ru5 structure.

Geometry as CIF:
```
data_Sc3H12Ru5
_chemical_formula_sum 'Sc24 H96 Ru40'
_space_group_name_H-M_alt 'I a -3 d'
_space_group_IT_number 230
_space_group_name_Hall '-I 4bd 2c 3'
_cell_length_a 11.010
_cell_length_b 11.010
_cell_length_c 11.010
_cell_angle_alpha 90.00
_cell_angle_beta 90.00
_cell_angle_gamma 90.00
loop_
_atom_site_label
_atom_site_type_symbol
_atom_site_fract_x
_atom_site_fract_y
_atom_site_fract_z
Sc1 Sc 0.000 0.250 0.125
H1 H 0.024 0.064 0.646
Ru1 Ru 0.000 0.000 0.000
Ru2 Ru 0.000 0.250 0.375
```

V ... 8.3 A^3/atom



A plane-wave DFT calculation with GGA-PBE was carried out for a geometry-optimized ScSiHRu2 structure.

Geometry as CIF:
```
data_ScSiHRu2
_chemical_formula_sum 'Sc1 Si1 H1 Ru2'
_space_group_name_H-M_alt 'P 4/m m m'
_space_group_IT_number 123
_space_group_name_Hall '-P 4 2'
_cell_length_a 4.579
_cell_length_b 4.579
_cell_length_c 3.356
_cell_angle_alpha 90.00
_cell_angle_beta 90.00
_cell_angle_gamma 90.00
loop_
_atom_site_label
_atom_site_type_symbol
_atom_site_fract_x
_atom_site_fract_y
_atom_site_fract_z
Sc1 Sc 0.000 0.000 0.000
Si1 Si 0.500 0.500 0.500
H1 H 0.500 0.500 0.000
Ru1 Ru 0.000 0.500 0.500
```

ΔE to the lowest computed polymorph ... 697 meV per atom
V ... 14.1 A^3/atom



A plane-wave DFT calculation with GGA-PBE was carried out for a geometry-optimized ScSiHRu2 structure.

Geometry as CIF:
```
data_ScSiHRu2
_chemical_formula_sum 'Sc4 Si4 H4 Ru8'
_space_group_name_H-M_alt 'C m c m'
_space_group_IT_number 63
_space_group_name_Hall '-C 2c 2'
_cell_length_a 3.081
_cell_length_b 11.320
_cell_length_c 7.349
_cell_angle_alpha 90.00
_cell_angle_beta 90.00
_cell_angle_gamma 90.00
loop_
_atom_site_label
_atom_site_type_symbol
_atom_site_fract_x
_atom_site_fract_y
_atom_site_fract_z
Sc1 Sc 0.000 0.028 0.250
Si1 Si 0.000 0.246 0.750
H1 H 0.000 0.500 0.000
Ru1 Ru 0.000 0.351 0.042
```

ΔE to the lowest computed polymorph ... 0 meV per atom
V ... 12.8 A^3/atom



A plane-wave DFT calculation with GGA-PBE was carried out for a geometry-optimized ScTcHRu2 structure.

Geometry as CIF:
```
data_ScTcHRu2
_chemical_formula_sum 'Sc1 Tc1 H1 Ru2'
_space_group_name_H-M_alt 'P 4/m m m'
_space_group_IT_number 123
_space_group_name_Hall '-P 4 2'
_cell_length_a 4.030
_cell_length_b 4.030
_cell_length_c 3.925
_cell_angle_alpha 90.00
_cell_angle_beta 90.00
_cell_angle_gamma 90.00
loop_
_atom_site_label
_atom_site_type_symbol
_atom_site_fract_x
_atom_site_fract_y
_atom_site_fract_z
Sc1 Sc 0.000 0.000 0.000
Tc1 Tc 0.500 0.500 0.000
H1 H 0.500 0.500 0.500
Ru1 Ru 0.000 0.500 0.500
```

V ... 12.8 A^3/atom



A plane-wave DFT calculation with GGA-PBE was carried out for a geometry-optimized Sc2TlHRu structure.

Geometry as CIF:
```
data_Sc2TlHRu
_chemical_formula_sum 'Sc2 Tl1 H1 Ru1'
_space_group_name_H-M_alt 'P 4/m m m'
_space_group_IT_number 123
_space_group_name_Hall '-P 4 2'
_cell_length_a 4.725
_cell_length_b 4.725
_cell_length_c 3.620
_cell_angle_alpha 90.00
_cell_angle_beta 90.00
_cell_angle_gamma 90.00
loop_
_atom_site_label
_atom_site_type_symbol
_atom_site_fract_x
_atom_site_fract_y
_atom_site_fract_z
Sc1 Sc 0.000 0.500 0.000
Tl1 Tl 0.000 0.000 0.500
H1 H 0.500 0.500 0.000
Ru1 Ru 0.500 0.500 0.500
```

V ... 16.2 A^3/atom



A plane-wave DFT calculation with GGA-PBE was carried out for a geometry-optimized Sc2ZnHRu structure.

Geometry as CIF:
```
data_Sc2ZnHRu
_chemical_formula_sum 'Sc2 Zn1 H1 Ru1'
_space_group_name_H-M_alt 'P 4/m m m'
_space_group_IT_number 123
_space_group_name_Hall '-P 4 2'
_cell_length_a 4.532
_cell_length_b 4.532
_cell_length_c 3.563
_cell_angle_alpha 90.00
_cell_angle_beta 90.00
_cell_angle_gamma 90.00
loop_
_atom_site_label
_atom_site_type_symbol
_atom_site_fract_x
_atom_site_fract_y
_atom_site_fract_z
Sc1 Sc 0.000 0.500 0.000
Zn1 Zn 0.000 0.000 0.500
H1 H 0.500 0.500 0.000
Ru1 Ru 0.500 0.500 0.500
```

V ... 14.6 A^3/atom



A plane-wave DFT calculation with GGA-PBE was carried out for a geometry-optimized H2RuSe2 structure.

Geometry as CIF:
```
data_H2RuSe2
_chemical_formula_sum 'H2 Ru1 Se2'
_space_group_name_H-M_alt 'P 4/m m m'
_space_group_IT_number 123
_space_group_name_Hall '-P 4 2'
_cell_length_a 4.619
_cell_length_b 4.619
_cell_length_c 2.793
_cell_angle_alpha 90.00
_cell_angle_beta 90.00
_cell_angle_gamma 90.00
loop_
_atom_site_label
_atom_site_type_symbol
_atom_site_fract_x
_atom_site_fract_y
_atom_site_fract_z
H1 H 0.000 0.000 0.000
H2 H 0.000 0.000 0.500
Ru1 Ru 0.500 0.500 0.000
Se1 Se 0.000 0.500 0.500
```

V ... 11.9 A^3/atom



A plane-wave DFT calculation with GGA-PBE was carried out for a geometry-optimized H2RuSe structure.

Geometry as CIF:
```
data_H2RuSe
_chemical_formula_sum 'H8 Ru4 Se4'
_space_group_name_H-M_alt 'F m -3 m'
_space_group_IT_number 225
_space_group_name_Hall '-F 4 2 3'
_cell_length_a 5.396
_cell_length_b 5.396
_cell_length_c 5.396
_cell_angle_alpha 90.00
_cell_angle_beta 90.00
_cell_angle_gamma 90.00
loop_
_atom_site_label
_atom_site_type_symbol
_atom_site_fract_x
_atom_site_fract_y
_atom_site_fract_z
H1 H 0.250 0.250 0.250
Ru1 Ru 0.000 0.000 0.000
Se1 Se 0.000 0.000 0.500
```

ΔE to the lowest computed polymorph ... 512 meV per atom
V ... 9.8 A^3/atom



A plane-wave DFT calculation with GGA-PBE was carried out for a geometry-optimized HRu3Se structure.

Geometry as CIF:
```
data_HRu3Se
_chemical_formula_sum 'H1 Ru3 Se1'
_space_group_name_H-M_alt 'P m -3 m'
_space_group_IT_number 221
_space_group_name_Hall '-P 4 2 3'
_cell_length_a 3.926
_cell_length_b 3.926
_cell_length_c 3.926
_cell_angle_alpha 90.00
_cell_angle_beta 90.00
_cell_angle_gamma 90.00
loop_
_atom_site_label
_atom_site_type_symbol
_atom_site_fract_x
_atom_site_fract_y
_atom_site_fract_z
H1 H 0.000 0.000 0.000
Ru1 Ru 0.000 0.000 0.500
Se1 Se 0.500 0.500 0.500
```

ΔE to the lowest computed polymorph ... 0 meV per atom
V ... 12.1 A^3/atom



A plane-wave DFT calculation with GGA-PBE was carried out for a geometry-optimized H2RuSe structure.

Geometry as CIF:
```
data_H2RuSe
_chemical_formula_sum 'H8 Ru4 Se4'
_space_group_name_H-M_alt 'I 41/a m d'
_space_group_IT_number 141
_cell_length_a 3.602
_cell_length_b 3.602
_cell_length_c 13.070
_cell_angle_alpha 90.00
_cell_angle_beta 90.00
_cell_angle_gamma 90.00
loop_
_space_group_symop_operation_xyz
'x,y,z'
'-x,-y,-z'
'-y+1/4,x+3/4,z+1/4'
'y+1/4,-x+3/4,-z+1/4'
'-x+1/2,-y,z+1/2'
'x+1/2,y,-z+1/2'
'y+1/4,-x+1/4,z+3/4'
'-y+1/4,x+1/4,-z+3/4'
'x,-y,-z'
'-x,y,z'
'-y+1/4,-x+1/4,-z+3/4'
'y+1/4,x+1/4,z+3/4'
'-x+1/2,y,-z+1/2'
'x+1/2,-y,z+1/2'
'y+1/4,x+3/4,-z+1/4'
'-y+1/4,-x+3/4,z+1/4'
'x+1/2,y+1/2,z+1/2'
'-x+1/2,-y+1/2,-z+1/2'
'-y+3/4,x+1/4,z+3/4'
'y+3/4,-x+1/4,-z+3/4'
'-x,-y+1/2,z'
'x,y+1/2,-z'
'y+3/4,-x+3/4,z+1/4'
'-y+3/4,x+3/4,-z+1/4'
'x+1/2,-y+1/2,-z+1/2'
'-x+1/2,y+1/2,z+1/2'
'-y+3/4,-x+3/4,-z+1/4'
'y+3/4,x+3/4,z+1/4'
'-x,y+1/2,-z'
'x,-y+1/2,z'
'y+3/4,x+1/4,-z+3/4'
'-y+3/4,-x+1/4,z+3/4'
loop_
_atom_site_label
_atom_site_type_symbol
_atom_site_fract_x
_atom_site_fract_y
_atom_site_fract_z
H1 H 0.000 0.000 0.000
Ru1 Ru 0.000 0.250 0.875
Se1 Se 0.000 0.250 0.375
```

ΔE to the lowest computed polymorph ... 0 meV per atom
V ... 10.6 A^3/atom



The evaluated energy for the records listed, in turn: -5.577, -5.491, -5.537, -6.607, -7.304, -7.762, -5.914, -5.787, -3.877, -3.920, -6.546, -4.433 eV/atom.